(1)
Compound: LiPr4Nd5
Source: Alexandria
Functional: GGA-PBE
Structure: optimized geometry

Values from the calculation:
* V: 34.23 Å³/atom
* total magnetization: 0.0 μB per formula unit
* energy: -4.46 eV per atom

```
LiPr4Nd5
1.0
-1.8042 -3.1473 0.7606
1.1531 0.1891 3.5177
-20.3388 13.1000 5.9626
Pr Nd Li
4 5 1
direct
0.0000 0.0000 0.3950
0.0000 0.0000 0.8154
0.0000 0.0000 0.1846
0.0000 0.0000 0.6050
0.5000 0.5000 0.7103
0.5000 0.5000 0.5000
0.5000 0.5000 0.9178
0.5000 0.5000 0.2897
0.5000 0.5000 0.0822
0.0000 0.0000 0.0000
```

(2)
Compound: LiPrNd
Source: Alexandria
Functional: GGA-PBE
Structure: optimized geometry

Values from the calculation:
* V: 33.19 Å³/atom
* total magnetization: 0.0 μB per formula unit
* energy: -3.63 eV per atom
* polymorph energy (0 for the lowest one): 153 meV per atom

```
LiPrNd
1.0
3.4450 0.0000 0.0000
1.7225 6.6807 -0.4641
1.7225 2.7823 8.4592
Li Pr Nd
2 2 2
direct
0.3727 0.7633 0.4912
0.6273 0.2367 0.5088
0.6249 0.5961 0.1542
0.3751 0.4039 0.8458
0.1214 0.9337 0.8234
0.8786 0.0663 0.1766
```

(3)
Compound: LiPrNdPt
Source: Alexandria
Functional: GGA-PBE
Structure: optimized geometry

Values from the calculation:
* V: 24.44 Å³/atom
* total magnetization: 0.0 μB per formula unit
* energy: -4.89 eV per atom

```
LiPrNdPt
1.0
-2.0202 4.7587 0.1176
-3.7710 1.1258 3.3544
0.9558 3.1162 4.0145
Pt Nd Li Pr
1 1 1 1
direct
0.7500 0.7500 0.7500
0.5000 0.5000 0.5000
0.2500 0.2500 0.2500
0.0000 0.0000 0.0000
```

(4)
Compound: LiPrNdRu
Source: Alexandria
Functional: GGA-PBE
Structure: optimized geometry

Values from the calculation:
* V: 23.34 Å³/atom
* total magnetization: 0.0 μB per formula unit
* energy: -5.31 eV per atom

```
LiPrNdRu
1.0
-1.3397 -3.2953 -3.6430
0.4293 -5.0079 0.8138
-4.1781 -2.8554 0.5612
Nd Ru Li Pr
1 1 1 1
direct
0.2500 0.2500 0.2500
0.0000 0.0000 0.0000
0.5000 0.5000 0.5000
0.7500 0.7500 0.7500
```

(5)
Compound: Li2PrNdS4
Source: Alexandria
Functional: GGA-PBE
Structure: optimized geometry

Values from the calculation:
* ΔE_f (raw): -1.769 eV per atom
* V: 22.40 Å³/atom
* total magnetization: 0.0 μB per formula unit
* energy: -5.50 eV per atom

```
Li2PrNdS4
1.0
-3.6636 1.3750 1.1505
-2.5395 -1.8670 -5.8552
-2.3916 -6.6384 0.3182
S Li Pr Nd
4 2 1 1
direct
0.5000 0.2423 0.7541
0.0000 0.2430 0.2505
0.0000 0.7570 0.7495
0.5000 0.7577 0.2459
0.0000 0.0000 0.0000
0.5000 0.0000 0.5000
0.0000 0.5000 0.5000
0.5000 0.5000 0.0000
```

(6)
Compound: LiPr2NdS5
Source: Alexandria
Functional: GGA-PBE
Structure: optimized geometry

Values from the calculation:
* ΔE_f (raw): -1.889 eV per atom
* V: 22.81 Å³/atom
* total magnetization: 0.0 μB per formula unit
* energy: -5.99 eV per atom

```
LiPr2NdS5
1.0
4.0519 0.0000 0.0000
-2.0259 8.3868 -0.0001
0.0000 -0.0002 12.0837
Pr S Nd Li
4 10 2 2
direct
0.1212 0.2425 0.2975
0.8906 0.7813 0.1843
0.1094 0.2187 0.6843
0.8788 0.7575 0.7975
0.4977 0.9955 0.2860
0.6356 0.2711 0.4990
0.2901 0.5802 0.6632
0.7099 0.4198 0.1631
0.6923 0.3847 0.8377
0.3644 0.7288 0.9990
0.0435 0.0871 0.0723
0.3077 0.6153 0.3377
0.5023 0.0045 0.7860
0.9565 0.9129 0.5723
0.1966 0.3932 0.9998
0.8034 0.6068 0.4998
0.5122 0.0244 0.9842
0.4878 0.9756 0.4842
```

(7)
Compound: LiPr3Nd3S8
Source: Alexandria
Functional: GGA-PBE
Structure: optimized geometry

Values from the calculation:
* ΔE_f (raw): -1.968 eV per atom
* V: 25.13 Å³/atom
* total magnetization: 0.0 μB per formula unit
* energy: -6.21 eV per atom

```
LiPr3Nd3S8
1.0
8.1128 0.0000 0.0000
-4.0564 7.0257 -0.0243
0.0000 -4.6610 6.6301
Pr S Li Nd
3 8 1 3
direct
0.0000 0.5000 0.5000
0.5000 0.0000 0.5000
0.5000 0.5000 0.5000
0.7597 0.0018 0.7439
0.7509 0.5018 0.7527
0.7579 0.5158 0.2561
0.2421 0.4842 0.7439
0.2491 0.4982 0.2473
0.2421 0.0018 0.7439
0.7579 0.9982 0.2561
0.2403 0.9982 0.2561
0.0000 0.0000 0.5000
0.0000 0.5000 0.0000
0.0000 0.0000 0.0000
0.5000 0.5000 0.0000
```

(8)
Compound: LiPrNd2S5
Source: Alexandria
Functional: GGA-PBE
Structure: optimized geometry

Values from the calculation:
* ΔE_f (raw): -1.872 eV per atom
* V: 22.69 Å³/atom
* total magnetization: 0.0 μB per formula unit
* energy: -5.97 eV per atom

```
LiPrNd2S5
1.0
-3.3262 1.5863 -1.6556
4.1395 -3.4726 -6.7148
-5.8467 -10.4053 1.7768
Li Nd S Pr
2 4 10 2
direct
0.4884 0.9768 0.4848
0.5116 0.0232 0.9848
0.8906 0.7812 0.1838
0.1202 0.2405 0.2967
0.8798 0.7595 0.7967
0.1094 0.2188 0.6838
0.9574 0.9149 0.5741
0.2909 0.5819 0.6650
0.6350 0.2700 0.4995
0.5025 0.0049 0.7865
0.3082 0.6164 0.3347
0.0426 0.0851 0.0741
0.7091 0.4181 0.1650
0.3650 0.7300 0.9995
0.6918 0.3836 0.8347
0.4975 0.9951 0.2865
0.1963 0.3927 0.9990
0.8037 0.6073 0.4990
```

(9)
Compound: LiPr2NdS4
Source: Alexandria
Functional: GGA-PBE
Structure: optimized geometry

Values from the calculation:
* ΔE_f (raw): -1.904 eV per atom
* V: 23.44 Å³/atom
* total magnetization: 0.0 μB per formula unit
* energy: -6.00 eV per atom

```
LiPr2NdS4
1.0
-3.6805 -0.4215 -1.6546
-0.0668 -6.7494 1.8677
-2.7989 -0.6332 6.3872
Nd S Li Pr
1 4 1 2
direct
0.0000 0.5000 0.5000
0.5000 0.7416 0.2454
0.0000 0.7403 0.7578
0.5000 0.2584 0.7546
0.0000 0.2597 0.2422
0.5000 0.5000 0.0000
0.5000 0.0000 0.5000
0.0000 0.0000 0.0000
```

(10)
Compound: LiPrNdS3
Source: Alexandria
Functional: GGA-PBE
Structure: optimized geometry

Values from the calculation:
* ΔE_f (raw): -1.818 eV per atom
* V: 23.06 Å³/atom
* total magnetization: 0.0 μB per formula unit
* energy: -5.79 eV per atom

```
LiPrNdS3
1.0
-1.7380 3.2721 1.3038
1.9038 -2.1311 7.8864
6.9034 4.5587 -2.2383
S Li Pr Nd
6 2 2 2
direct
0.7500 0.4171 0.1720
0.2500 0.7964 0.5080
0.2500 0.5829 0.8280
0.2500 0.0961 0.8656
0.7500 0.9039 0.1344
0.7500 0.2036 0.4920
0.7500 0.9144 0.4158
0.2500 0.0856 0.5842
0.2500 0.1794 0.2177
0.7500 0.8206 0.7823
0.7500 0.3410 0.8293
0.2500 0.6590 0.1707
```

(11)
Compound: LiPr3Nd2S6
Source: Alexandria
Functional: GGA-PBE
Structure: optimized geometry

Values from the calculation:
* ΔE_f (raw): -1.950 eV per atom
* V: 23.60 Å³/atom
* total magnetization: 0.0 μB per formula unit
* energy: -6.16 eV per atom

```
LiPr3Nd2S6
1.0
-3.3865 -5.2672 3.1896
6.7392 1.2973 1.5120
-3.0088 5.4717 3.2505
S Li Pr Nd
6 1 3 2
direct
0.2424 0.2424 0.7608
0.0801 0.4042 0.2414
0.9199 0.5958 0.7586
0.4042 0.0801 0.2414
0.7576 0.7576 0.2392
0.5958 0.9199 0.7586
0.0000 0.0000 0.0000
0.1662 0.8338 0.5000
0.8338 0.1662 0.5000
0.5000 0.5000 0.5000
0.3343 0.6657 0.0000
0.6657 0.3343 0.0000
```

(12)
Compound: LiPrNd2S4
Source: Alexandria
Functional: GGA-PBE
Structure: optimized geometry

Values from the calculation:
* ΔE_f (raw): -1.907 eV per atom
* V: 23.32 Å³/atom
* total magnetization: 0.0 μB per formula unit
* energy: -6.00 eV per atom

```
LiPrNd2S4
1.0
4.0463 0.0000 0.0000
0.0000 6.9914 0.1205
0.0000 -2.4441 6.5522
S Nd Pr Li
4 2 1 1
direct
0.0000 0.7426 0.2444
0.5000 0.2575 0.2464
0.5000 0.7425 0.7536
0.0000 0.2574 0.7556
0.0000 0.5000 0.5000
0.5000 0.0000 0.5000
0.0000 0.0000 0.0000
0.5000 0.5000 0.0000
```

(13)
Compound: Li2Pr3Nd2Sb4
Source: Alexandria
Functional: GGA-PBE
Structure: optimized geometry

Values from the calculation:
* ΔE_f (raw): -0.866 eV per atom
* V: 29.88 Å³/atom
* total magnetization: 0.0 μB per formula unit
* energy: -4.88 eV per atom

```
Li2Pr3Nd2Sb4
1.0
4.5693 0.0000 0.0000
-2.2846 3.9571 0.0000
0.0000 0.0000 18.1759
Li Sb Pr Nd
2 4 3 2
direct
0.3333 0.6667 0.1208
0.6667 0.3333 0.8792
0.6667 0.3333 0.6715
0.6667 0.3333 0.1122
0.3333 0.6667 0.3285
0.3333 0.6667 0.8878
0.0000 0.0000 0.7695
0.0000 0.0000 0.2305
0.0000 0.0000 0.0000
0.3333 0.6667 0.5785
0.6667 0.3333 0.4215
```

(14)
Compound: LiPrNdSb
Source: Alexandria
Functional: GGA-PBE
Structure: optimized geometry

Values from the calculation:
* ΔE_f (raw): -0.515 eV per atom
* V: 27.65 Å³/atom
* total magnetization: 0.0 μB per formula unit
* energy: -4.41 eV per atom

```
LiPrNdSb
1.0
5.3877 0.0000 0.0000
2.6939 4.6659 0.0000
2.6939 1.5553 4.3991
Pr Nd Sb Li
1 1 1 1
direct
0.7500 0.7500 0.7500
0.2500 0.2500 0.2500
0.5000 0.5000 0.5000
0.0000 0.0000 0.0000
```

(15)
Compound: LiPr3Nd2Se6
Source: Alexandria
Functional: GGA-PBE
Structure: optimized geometry

Values from the calculation:
* ΔE_f (raw): -1.796 eV per atom
* V: 26.47 Å³/atom
* total magnetization: 0.0 μB per formula unit
* energy: -5.69 eV per atom

```
LiPr3Nd2Se6
1.0
7.3024 -0.0132 -0.0065
-3.6608 6.3185 -0.0065
-1.2209 -2.1140 6.8968
Pr Se Li Nd
3 6 1 2
direct
0.1679 0.8321 0.5000
0.8321 0.1679 0.5000
0.5000 0.5000 0.5000
0.7597 0.7597 0.2394
0.0794 0.4012 0.2399
0.2403 0.2403 0.7606
0.5988 0.9206 0.7601
0.9206 0.5988 0.7601
0.4012 0.0794 0.2399
0.0000 0.0000 0.0000
0.6654 0.3346 0.0000
0.3346 0.6654 0.0000
```

(16)
Compound: LiPr2NdSe4
Source: Alexandria
Functional: GGA-PBE
Structure: optimized geometry

Values from the calculation:
* ΔE_f (raw): -1.762 eV per atom
* V: 26.32 Å³/atom
* total magnetization: 0.0 μB per formula unit
* energy: -5.53 eV per atom

```
LiPr2NdSe4
1.0
-0.1060 -2.8046 -3.1384
0.0480 -5.4309 4.8516
-6.8490 -1.7260 1.7736
Se Pr Li Nd
4 2 1 1
direct
0.5000 0.2617 0.7401
0.5000 0.7383 0.2599
0.0000 0.7407 0.7443
0.0000 0.2593 0.2557
0.5000 0.0000 0.5000
0.0000 0.0000 0.0000
0.0000 0.5000 0.5000
0.5000 0.5000 0.0000
```

(17)
Compound: LiPrNdSe3
Source: Alexandria
Functional: GGA-PBE
Structure: optimized geometry

Values from the calculation:
* ΔE_f (raw): -1.681 eV per atom
* V: 25.98 Å³/atom
* total magnetization: 0.0 μB per formula unit
* energy: -5.33 eV per atom

```
LiPrNdSe3
1.0
4.0825 0.0000 0.0000
0.0000 8.7041 0.2084
0.0000 -2.0797 8.7232
Se Pr Nd Li
6 2 2 2
direct
0.7500 0.4212 0.1762
0.2500 0.0926 0.8689
0.2500 0.5788 0.8238
0.7500 0.2115 0.4937
0.7500 0.9074 0.1311
0.2500 0.7885 0.5063
0.7500 0.8174 0.7782
0.2500 0.1826 0.2218
0.7500 0.3378 0.8340
0.2500 0.6622 0.1660
0.7500 0.9150 0.4154
0.2500 0.0850 0.5846
```

(18)
Compound: LiPr3Nd4Se8
Source: Alexandria
Functional: GGA-PBE
Structure: optimized geometry

Values from the calculation:
* ΔE_f (raw): -1.799 eV per atom
* V: 26.66 Å³/atom
* total magnetization: 0.0 μB per formula unit
* energy: -5.75 eV per atom

```
LiPr3Nd4Se8
1.0
-3.4141 0.8088 7.6881
0.9205 -8.3001 1.2819
6.6733 4.7061 -2.1763
Nd Pr Li Se
4 3 1 8
direct
0.0000 0.0000 0.5000
0.0000 0.0000 0.0000
0.5000 0.0000 0.5000
0.5000 0.0000 0.0000
0.5000 0.5000 0.5000
0.5000 0.5000 0.0000
0.0000 0.5000 0.5000
0.0000 0.5000 0.0000
0.7587 0.7451 0.0019
0.7568 0.2549 0.9981
0.7510 0.7529 0.5020
0.2413 0.2549 0.9981
0.2433 0.7452 0.4866
0.7567 0.2548 0.5134
0.2432 0.7451 0.0019
0.2490 0.2471 0.4980
```

(19)
Compound: LiPr2Nd3Se6
Source: Alexandria
Functional: GGA-PBE
Structure: optimized geometry

Values from the calculation:
* ΔE_f (raw): -1.795 eV per atom
* V: 26.40 Å³/atom
* total magnetization: 0.0 μB per formula unit
* energy: -5.69 eV per atom

```
LiPr2Nd3Se6
1.0
-2.1750 -6.9678 -0.1367
6.5457 1.8543 -2.6485
1.3172 0.7319 7.1439
Pr Se Li Nd
2 6 1 3
direct
0.3346 0.6654 0.0000
0.6654 0.3346 0.0000
0.5983 0.9190 0.7554
0.7625 0.7625 0.2442
0.9190 0.5983 0.7554
0.2375 0.2375 0.7558
0.0810 0.4017 0.2446
0.4017 0.0810 0.2446
0.0000 0.0000 0.0000
0.5000 0.5000 0.5000
0.8319 0.1681 0.5000
0.1681 0.8319 0.5000
```

(20)
Compound: LiPrNd2Se5
Source: Alexandria
Functional: GGA-PBE
Structure: optimized geometry

Values from the calculation:
* ΔE_f (raw): -1.726 eV per atom
* V: 25.76 Å³/atom
* total magnetization: 0.0 μB per formula unit
* energy: -5.47 eV per atom

```
LiPrNd2Se5
1.0
-3.7851 1.5049 1.0063
-1.8149 -6.2460 -6.2330
-1.0620 -8.7226 9.0501
Se Li Nd Pr
10 2 4 2
direct
0.9571 0.9141 0.5753
0.2893 0.5786 0.6653
0.3643 0.7287 0.9984
0.3084 0.6168 0.3342
0.7107 0.4214 0.1653
0.6357 0.2713 0.4984
0.6916 0.3832 0.8342
0.5022 0.0045 0.7863
0.4978 0.9955 0.2863
0.0429 0.0859 0.0753
0.5121 0.0241 0.9841
0.4879 0.9759 0.4841
0.8784 0.7567 0.7966
0.1091 0.2182 0.6842
0.8909 0.7818 0.1842
0.1216 0.2433 0.2966
0.8044 0.6087 0.4996
0.1956 0.3913 0.9996
```